(1)
Y2Ta2Te (meta-GGA SCAN, single point on PBEsol structure); magnetization = 0.0 μB/f.u.; crystal system = tetragonal; SG = I4/mmm, No. 139; V = 25.32 A^3/atom; total DFT energy (no corrections) = -45.336 eV per atom
1.0
3.753 0.000 0.000
0.000 3.753 0.000
-1.876 -1.876 8.991
Ta Te Y
2 1 2
Direct
0.750 0.250 0.500 Ta
0.250 0.750 0.500 Ta
0.000 0.000 0.000 Te
0.605 0.605 0.211 Y
0.395 0.395 0.789 Y



(2)
YTa2Te (meta-GGA SCAN, single point on PBEsol structure); magnetization = 0.0 μB/f.u.; crystal system = tetragonal; SG = P4mm, No. 99; V = 21.54 A^3/atom; total DFT energy (no corrections) = -49.631 eV per atom
1.0
-0.601 0.058 3.442
-3.034 -1.660 -0.502
3.283 -6.207 0.678
Te Y Ta
1 1 2
Direct
0.000 0.000 0.461 Te
0.500 0.500 0.763 Y
0.000 0.000 0.041 Ta
0.500 0.500 0.235 Ta



(3)
Y2ZrTaTe (meta-GGA SCAN, single point on PBEsol structure); magnetization = 2.3 μB/f.u.; crystal system = tetragonal; SG = P4/mmm, No. 123; V = 29.54 A^3/atom; total DFT energy (no corrections) = -37.314 eV per atom
1.0
5.146 0.000 0.000
0.000 5.357 0.000
0.000 0.000 5.357
Zr Y Te Ta
1 2 1 1
Direct
0.500 0.500 0.500 Zr
0.000 0.500 0.000 Y
0.000 0.000 0.500 Y
0.500 0.000 0.000 Te
0.000 0.000 0.000 Ta



Here are the calculated energy relative to the elements, uncorrected numbers, same order: -0.58; -0.26; 3.65 (eV per formula unit).